A relaxed structure of BaCoCl2, computed with PBE.

Cell lengths 4.102, 4.908, 5.028 Å; angles 90.00, 90.00, 90.00 degrees
Fractional coordinates of all 4 atoms:
Ba (0.000, 0.000, 0.000)
Co (0.000, 0.500, 0.500)
Cl (0.500, 0.000, 0.500)
Cl (0.500, 0.500, 0.000)

The value obtained for the size of the total moment is 2.33 μB/cell. For the energy relative to the elements, uncorrected, the calculation gives -68.7 kJ/mol of atoms. As for the energy above the most stable polymorph in this dataset: 0.304 eV/atom. Its density is 4.38 g/cm³.